Here is BeInTc2 after structural relaxation from Alexandria. Energies are from PBE.

a b c (Å): 3.0232 3.0232 6.4745
angles (deg): 90.00 90.00 90.00
Last column: nearest neighbours and their distance in Å.
Positions (direct):
Be: 0.0000 0.0000 0.0000  5 Tc 2.40-2.61
In: 0.5000 0.5000 0.7116  4 Be 2.84, 5 Tc 2.93-2.95, 4 In 3.02
Tc: 0.0000 0.0000 0.4026  1 Be 2.61, 4 Tc 2.62
Tc: 0.5000 0.5000 0.1679  4 Be 2.40, 4 Tc 2.62

V = 14.8 Å³/atom
formation energy = -1.1 kJ/mol of atoms
relative energy among the computed polymorphs = 0 meV per atom
DOS(E_F) = 1.96 states/eV/f.u.
symmetry = P4mm